--- i ---
DFT (GGA-PBE) results for a relaxed HfGeAsO crystal.

The structure in CIF format:
```
data_HfGeAsO
_cell_length_a 3.589
_cell_length_b 3.589
_cell_length_c 10.282
_cell_angle_alpha 90.00
_cell_angle_beta 90.00
_cell_angle_gamma 90.00
_space_group_name_H-M_alt 'P 1'
_space_group_IT_number 1
loop_
_space_group_symop_operation_xyz
'x,y,z'
loop_
_atom_site_label
_atom_site_type_symbol
_atom_site_fract_x
_atom_site_fract_y
_atom_site_fract_z
_atom_site_occupancy
Ge1 Ge 0.500 0.500 0.500 1
Ge2 Ge 0.000 0.000 0.500 1
As1 As 0.500 0.000 0.740 1
As2 As 0.000 0.500 0.260 1
Hf1 Hf 0.000 0.500 0.882 1
Hf2 Hf 0.500 0.000 0.118 1
O1 O 0.500 0.500 0.000 1
O2 O 0.000 0.000 0.000 1
```

Space group: P4/nmm
Calculated density, g cm⁻³: 8.58

---

--- ii ---
DFT (GGA-PBE) results for a relaxed HfGeAsO crystal.

The structure in CIF format:
```
data_HfGeAsO
_cell_length_a 3.656
_cell_length_b 7.264
_cell_length_c 5.519
_cell_angle_alpha 90.00
_cell_angle_beta 90.00
_cell_angle_gamma 90.00
_space_group_name_H-M_alt 'P 1'
_space_group_IT_number 1
loop_
_space_group_symop_operation_xyz
'x,y,z'
loop_
_atom_site_label
_atom_site_type_symbol
_atom_site_fract_x
_atom_site_fract_y
_atom_site_fract_z
_atom_site_occupancy
As1 As 0.000 0.283 0.432 1
As2 As 0.000 0.717 0.932 1
Hf1 Hf 0.000 0.294 0.931 1
Hf2 Hf 0.000 0.706 0.431 1
O1 O 0.500 0.610 0.432 1
O2 O 0.500 0.390 0.932 1
Ge1 Ge 0.500 0.050 0.459 1
Ge2 Ge 0.500 0.950 0.959 1
```

Space group: Pmc2_1
Calculated density, g cm⁻³: 7.75

---

In terms of stability, i leads; the second structure lies 13.2 kJ/mol of atoms higher.

---

--- i ---
DFT (GGA-PBE) results for a relaxed HfGeAsO crystal.

The structure in CIF format:
```
data_HfGeAsO
_cell_length_a 4.248
_cell_length_b 4.248
_cell_length_c 8.283
_cell_angle_alpha 90.00
_cell_angle_beta 90.00
_cell_angle_gamma 90.00
_space_group_name_H-M_alt 'P 1'
_space_group_IT_number 1
loop_
_space_group_symop_operation_xyz
'x,y,z'
loop_
_atom_site_label
_atom_site_type_symbol
_atom_site_fract_x
_atom_site_fract_y
_atom_site_fract_z
_atom_site_occupancy
Hf1 Hf 0.250 0.750 0.500 1
Hf2 Hf 0.750 0.250 0.500 1
O1 O 0.750 0.250 0.000 1
O2 O 0.250 0.750 0.000 1
As1 As 0.250 0.250 0.689 1
As2 As 0.750 0.750 0.311 1
Ge1 Ge 0.250 0.250 0.087 1
Ge2 Ge 0.750 0.750 0.913 1
```

Space group: P4/nmm
Calculated density, g cm⁻³: 7.60

---

--- ii ---
DFT (GGA-PBE) results for a relaxed HfGeAsO crystal.

The structure in CIF format:
```
data_HfGeAsO
_cell_length_a 4.271
_cell_length_b 6.248
_cell_length_c 6.091
_cell_angle_alpha 90.00
_cell_angle_beta 90.00
_cell_angle_gamma 90.00
_space_group_name_H-M_alt 'P 1'
_space_group_IT_number 1
loop_
_space_group_symop_operation_xyz
'x,y,z'
loop_
_atom_site_label
_atom_site_type_symbol
_atom_site_fract_x
_atom_site_fract_y
_atom_site_fract_z
_atom_site_occupancy
Ge1 Ge 0.000 0.305 0.455 1
Ge2 Ge 0.000 0.695 0.955 1
As1 As 0.000 0.863 0.367 1
As2 As 0.000 0.137 0.867 1
Hf1 Hf 0.500 0.322 0.056 1
Hf2 Hf 0.500 0.678 0.556 1
O1 O 0.500 0.413 0.376 1
O2 O 0.500 0.587 0.876 1
```

Space group: Pmc2_1
Calculated density, g cm⁻³: 6.99

---

In terms of stability, ii leads; the second structure lies 39.9 kJ/mol of atoms higher.

---

--- i ---
DFT (GGA-PBE) results for a relaxed HgGeAsO crystal.

The structure in CIF format:
```
data_HgGeAsO
_cell_length_a 3.962
_cell_length_b 3.962
_cell_length_c 9.818
_cell_angle_alpha 90.00
_cell_angle_beta 90.00
_cell_angle_gamma 90.00
_space_group_name_H-M_alt 'P 1'
_space_group_IT_number 1
loop_
_space_group_symop_operation_xyz
'x,y,z'
loop_
_atom_site_label
_atom_site_type_symbol
_atom_site_fract_x
_atom_site_fract_y
_atom_site_fract_z
_atom_site_occupancy
Hg1 Hg 0.000 0.000 0.500 1
Hg2 Hg 0.500 0.500 0.500 1
Ge1 Ge 0.500 0.000 0.093 1
Ge2 Ge 0.000 0.500 0.907 1
As1 As 0.000 0.500 0.299 1
As2 As 0.500 0.000 0.701 1
O1 O 0.500 0.500 0.000 1
O2 O 0.000 0.000 0.000 1
```

Space group: P4/nmm
Calculated density, g cm⁻³: 7.85

---

--- ii ---
DFT (GGA-PBE) results for a relaxed HgGeAsO crystal.

The structure in CIF format:
```
data_HgGeAsO
_cell_length_a 3.970
_cell_length_b 6.518
_cell_length_c 6.283
_cell_angle_alpha 90.00
_cell_angle_beta 90.00
_cell_angle_gamma 90.00
_space_group_name_H-M_alt 'P 1'
_space_group_IT_number 1
loop_
_space_group_symop_operation_xyz
'x,y,z'
loop_
_atom_site_label
_atom_site_type_symbol
_atom_site_fract_x
_atom_site_fract_y
_atom_site_fract_z
_atom_site_occupancy
As1 As 0.000 0.635 0.848 1
As2 As 0.000 0.365 0.348 1
O1 O 0.500 0.822 0.414 1
O2 O 0.500 0.178 0.914 1
Ge1 Ge 0.000 0.737 0.463 1
Ge2 Ge 0.000 0.263 0.963 1
Hg1 Hg 0.500 0.818 0.028 1
Hg2 Hg 0.500 0.182 0.528 1
```

Space group: Pmc2_1
Calculated density, g cm⁻³: 7.44

---

--- iii ---
DFT (GGA-PBE) results for a relaxed HgGeAsO crystal.

The structure in CIF format:
```
data_HgGeAsO
_cell_length_a 4.466
_cell_length_b 4.466
_cell_length_c 8.574
_cell_angle_alpha 90.00
_cell_angle_beta 90.00
_cell_angle_gamma 90.00
_space_group_name_H-M_alt 'P 1'
_space_group_IT_number 1
loop_
_space_group_symop_operation_xyz
'x,y,z'
loop_
_atom_site_label
_atom_site_type_symbol
_atom_site_fract_x
_atom_site_fract_y
_atom_site_fract_z
_atom_site_occupancy
O1 O 0.750 0.250 0.000 1
O2 O 0.250 0.750 0.000 1
As1 As 0.750 0.750 0.339 1
As2 As 0.250 0.250 0.661 1
Hg1 Hg 0.250 0.250 0.060 1
Hg2 Hg 0.750 0.750 0.940 1
Ge1 Ge 0.750 0.250 0.500 1
Ge2 Ge 0.250 0.750 0.500 1
```

Space group: P4/nmm
Calculated density, g cm⁻³: 7.07

---

In terms of stability, ii leads; the second structure lies 0.9 kJ/mol of atoms higher.

---

--- i ---
DFT (GGA-PBE) results for a relaxed GeAsIrO crystal.

The structure in CIF format:
```
data_GeAsIrO
_cell_length_a 3.845
_cell_length_b 3.845
_cell_length_c 9.719
_cell_angle_alpha 90.00
_cell_angle_beta 90.00
_cell_angle_gamma 90.00
_space_group_name_H-M_alt 'P 1'
_space_group_IT_number 1
loop_
_space_group_symop_operation_xyz
'x,y,z'
loop_
_atom_site_label
_atom_site_type_symbol
_atom_site_fract_x
_atom_site_fract_y
_atom_site_fract_z
_atom_site_occupancy
As1 As 0.250 0.250 0.657 1
As2 As 0.750 0.750 0.343 1
Ir1 Ir 0.750 0.250 0.500 1
Ir2 Ir 0.250 0.750 0.500 1
O1 O 0.750 0.250 0.000 1
O2 O 0.250 0.750 0.000 1
Ge1 Ge 0.250 0.250 0.099 1
Ge2 Ge 0.750 0.750 0.901 1
```

Space group: P4/nmm
Calculated density, g cm⁻³: 8.22

---

--- ii ---
DFT (GGA-PBE) results for a relaxed GeAsIrO crystal.

The structure in CIF format:
```
data_GeAsIrO
_cell_length_a 3.910
_cell_length_b 6.284
_cell_length_c 5.434
_cell_angle_alpha 90.00
_cell_angle_beta 90.00
_cell_angle_gamma 90.00
_space_group_name_H-M_alt 'P 1'
_space_group_IT_number 1
loop_
_space_group_symop_operation_xyz
'x,y,z'
loop_
_atom_site_label
_atom_site_type_symbol
_atom_site_fract_x
_atom_site_fract_y
_atom_site_fract_z
_atom_site_occupancy
As1 As 0.000 0.666 0.375 1
As2 As 0.000 0.334 0.875 1
Ir1 Ir 0.500 0.500 0.624 1
Ir2 Ir 0.500 0.500 0.124 1
O1 O 0.500 0.754 0.873 1
O2 O 0.500 0.246 0.373 1
Ge1 Ge 0.000 0.895 0.882 1
Ge2 Ge 0.000 0.105 0.382 1
```

Space group: Pmc2_1
Calculated density, g cm⁻³: 8.85

---

--- iii ---
DFT (GGA-PBE) results for a relaxed GeAsIrO crystal.

The structure in CIF format:
```
data_GeAsIrO
_cell_length_a 4.117
_cell_length_b 4.117
_cell_length_c 7.656
_cell_angle_alpha 90.00
_cell_angle_beta 90.00
_cell_angle_gamma 90.00
_space_group_name_H-M_alt 'P 1'
_space_group_IT_number 1
loop_
_space_group_symop_operation_xyz
'x,y,z'
loop_
_atom_site_label
_atom_site_type_symbol
_atom_site_fract_x
_atom_site_fract_y
_atom_site_fract_z
_atom_site_occupancy
As1 As 0.500 0.000 0.727 1
As2 As 0.000 0.500 0.273 1
Ir1 Ir 0.000 0.500 0.932 1
Ir2 Ir 0.500 0.000 0.068 1
O1 O 0.500 0.500 0.000 1
O2 O 0.000 0.000 0.000 1
Ge1 Ge 0.500 0.500 0.500 1
Ge2 Ge 0.000 0.000 0.500 1
```

Space group: P4/nmm
Calculated density, g cm⁻³: 9.11

---

In terms of stability, i leads; the second structure lies 37.9 kJ/mol of atoms higher.

---

--- i ---
DFT (GGA-PBE) results for a relaxed LiGeAsOs crystal.

The structure in CIF format:
```
data_LiGeAsOs
_cell_length_a 4.345
_cell_length_b 4.345
_cell_length_c 4.345
_cell_angle_alpha 60.00
_cell_angle_beta 60.00
_cell_angle_gamma 60.00
_space_group_name_H-M_alt 'P 1'
_space_group_IT_number 1
loop_
_space_group_symop_operation_xyz
'x,y,z'
loop_
_atom_site_label
_atom_site_type_symbol
_atom_site_fract_x
_atom_site_fract_y
_atom_site_fract_z
_atom_site_occupancy
As1 As 0.500 0.500 0.500 1
Li1 Li 0.750 0.750 0.750 1
Os1 Os 0.250 0.250 0.250 1
Ge1 Ge 0.000 0.000 0.000 1
```

Space group: F-43m
Calculated density, g cm⁻³: 9.87

---

--- ii ---
DFT (GGA-PBE) results for a relaxed LiGeAsOs crystal.

The structure in CIF format:
```
data_LiGeAsOs
_cell_length_a 4.408
_cell_length_b 4.408
_cell_length_c 4.408
_cell_angle_alpha 60.00
_cell_angle_beta 60.00
_cell_angle_gamma 60.00
_space_group_name_H-M_alt 'P 1'
_space_group_IT_number 1
loop_
_space_group_symop_operation_xyz
'x,y,z'
loop_
_atom_site_label
_atom_site_type_symbol
_atom_site_fract_x
_atom_site_fract_y
_atom_site_fract_z
_atom_site_occupancy
As1 As 0.000 0.000 0.000 1
Li1 Li 0.750 0.750 0.750 1
Ge1 Ge 0.250 0.250 0.250 1
Os1 Os 0.500 0.500 0.500 1
```

Space group: F-43m
Calculated density, g cm⁻³: 9.45

---

In terms of stability, i leads; the second structure lies 43.7 kJ/mol of atoms higher.